VASP calculation (PBE) on a geometry-optimized KAcHgPd structure.

```
16
Lattice="7.801 0.000 0.000 0.000 7.801 0.000 0.000 0.000 7.801" Properties=species:S:1:pos:R:3 pbc="T T T"
K 0.000 0.000 0.000
K 0.000 3.900 3.900
K 3.900 0.000 3.900
K 3.900 3.900 0.000
Ac 0.000 0.000 3.900
Ac 0.000 3.900 0.000
Ac 3.900 0.000 0.000
Ac 3.900 3.900 3.900
Hg 1.950 1.950 1.950
Hg 1.950 5.851 5.851
Hg 5.851 1.950 5.851
Hg 5.851 5.851 1.950
Pd 1.950 1.950 5.851
Pd 1.950 5.851 1.950
Pd 5.851 1.950 1.950
Pd 5.851 5.851 5.851
```

Results
The calculation puts the density of states at the Fermi level at 0.911 states/eV per atom. The value obtained for the total magnetic moment is 0.000 μB per atom. The space-group type is No. 216. As for the electronic total energy: -2.907 eV/atom. For the calculated formation energy, the calculation gives -232 meV/atom.